A plane-wave DFT calculation with GGA+U was carried out for an optimized crystal structure of UMn2ZnO6.

Lattice parameters (Å, degrees): 5.5273 5.3377 10.4905 90.00 120.93 90.00
Closest atoms and distances in Å follow each position.
Sites, in units of the cell vectors:
1 U 0.0000 0.0000 0.0000  6 O 2.05-2.16
2 U 0.0000 0.5000 0.5000  6 O 2.05-2.16
3 Mn 0.2993 0.0088 0.7926  5 O 2.13-2.28
4 Mn 0.2993 0.4912 0.2926  5 O 2.13-2.28
5 Mn 0.7007 0.5088 0.7074  5 O 2.13-2.28
6 Mn 0.7007 0.9912 0.2074  5 O 2.13-2.28
7 Zn 0.5000 0.0000 0.5000  2 O 1.82
8 Zn 0.5000 0.5000 0.0000  2 O 1.82
9 O 0.0117 0.1963 0.1713  1 U 2.05, 2 Mn 2.13-2.23
10 O 0.0117 0.3037 0.6713  1 U 2.05, 2 Mn 2.13-2.23
11 O 0.3174 0.7448 0.6456  1 U 2.09, 2 Mn 2.13-2.25
12 O 0.3174 0.7552 0.1456  1 U 2.09, 2 Mn 2.13-2.25
13 O 0.3480 0.2047 0.0109  1 Zn 1.82
14 O 0.3480 0.2953 0.5109  1 Zn 1.82
15 O 0.6520 0.7047 0.4891  1 Zn 1.82
16 O 0.6520 0.7953 0.9891  1 Zn 1.82
17 O 0.6826 0.2448 0.8544  1 U 2.09, 2 Mn 2.13-2.25
18 O 0.6826 0.2552 0.3544  1 U 2.09, 2 Mn 2.13-2.25
19 O 0.9883 0.6963 0.3287  1 U 2.05, 2 Mn 2.13-2.23
20 O 0.9883 0.8037 0.8287  1 U 2.05, 2 Mn 2.13-2.23

Its total energy is -7.8773 eV/atom. The theoretical density is 6.371 g/cm³. For the total magnetization, the calculation gives 1.000 μB per atom.


A plane-wave DFT calculation with GGA+U was carried out for an optimized crystal structure of UMnZn2O6.

Lattice parameters (Å, degrees): 5.8842 5.8842 5.8842 54.82 54.82 54.82
Closest atoms and distances in Å follow each position.
Sites, in units of the cell vectors:
1 U 0.0000 0.0000 0.0000  6 O 2.11
2 Mn 0.5000 0.5000 0.5000  6 O 2.20
3 Zn 0.2128 0.2128 0.2128  3 O 1.98
4 Zn 0.7872 0.7872 0.7872  3 O 1.98
5 O 0.0952 0.3886 0.7791  1 Zn 1.98, 1 U 2.11, 1 Mn 2.20
6 O 0.2209 0.9048 0.6114  1 Zn 1.98, 1 U 2.11, 1 Mn 2.20
7 O 0.3886 0.7791 0.0952  1 Zn 1.98, 1 U 2.11, 1 Mn 2.20
8 O 0.6114 0.2209 0.9048  1 Zn 1.98, 1 U 2.11, 1 Mn 2.20
9 O 0.7791 0.0952 0.3886  1 Zn 1.98, 1 U 2.11, 1 Mn 2.20
10 O 0.9048 0.6114 0.2209  1 Zn 1.98, 1 U 2.11, 1 Mn 2.20

Its total energy is -7.2185 eV/atom. The theoretical density is 6.812 g/cm³. For the total magnetization, the calculation gives 0.500 μB per atom.


A plane-wave DFT calculation with GGA+U was carried out for an optimized crystal structure of ZrUMnO6.

Lattice parameters (Å, degrees): 5.6166 5.6166 9.1287 90.00 90.00 120.00
Closest atoms and distances in Å follow each position.
Sites, in units of the cell vectors:
1 Zr 0.3333 0.6667 0.2500  6 O 2.13
2 Zr 0.6667 0.3333 0.7500  6 O 2.13
3 U 0.3333 0.6667 0.7500  6 O 2.10
4 U 0.6667 0.3333 0.2500  6 O 2.10
5 Mn 0.0000 0.0000 0.0000  6 O 2.31
6 Mn 0.0000 0.0000 0.5000  6 O 2.31
7 O 0.0042 0.3515 0.6343  1 U 2.10, 1 Zr 2.13, 1 Mn 2.31
8 O 0.0042 0.6527 0.8657  1 U 2.10, 1 Zr 2.13, 1 Mn 2.31
9 O 0.3473 0.3515 0.8657  1 U 2.10, 1 Zr 2.13, 1 Mn 2.31
10 O 0.3473 0.9958 0.6343  1 U 2.10, 1 Zr 2.13, 1 Mn 2.31
11 O 0.3515 0.0042 0.1343  1 U 2.10, 1 Zr 2.13, 1 Mn 2.31
12 O 0.3515 0.3473 0.3657  1 U 2.10, 1 Zr 2.13, 1 Mn 2.31
13 O 0.6485 0.6527 0.6343  1 U 2.10, 1 Zr 2.13, 1 Mn 2.31
14 O 0.6485 0.9958 0.8657  1 U 2.10, 1 Zr 2.13, 1 Mn 2.31
15 O 0.6527 0.0042 0.3657  1 U 2.10, 1 Zr 2.13, 1 Mn 2.31
16 O 0.6527 0.6485 0.1343  1 U 2.10, 1 Zr 2.13, 1 Mn 2.31
17 O 0.9958 0.3473 0.1343  1 U 2.10, 1 Zr 2.13, 1 Mn 2.31
18 O 0.9958 0.6485 0.3657  1 U 2.10, 1 Zr 2.13, 1 Mn 2.31

Its total energy is -9.1216 eV/atom. The theoretical density is 6.394 g/cm³. For the total magnetization, the calculation gives 0.556 μB per atom. The calculation puts the density of states at the Fermi level at 0.0 states/eV per cell.


A plane-wave DFT calculation with GGA+U was carried out for an optimized crystal structure of ZrUMn2O8.

Lattice parameters (Å, degrees): 4.7330 4.7330 6.7766 93.51 93.51 88.37
Closest atoms and distances in Å follow each position.
Sites, in units of the cell vectors:
1 Zr 0.0000 0.0000 0.0000  6 O 2.08-2.15
2 U 0.0000 0.0000 0.5000  6 O 2.01-2.14
3 Mn 0.4926 0.4926 0.7684  4 O 1.90-1.99
4 Mn 0.5074 0.5074 0.2316  4 O 1.90-1.99
5 O 0.1987 0.7996 0.7493  1 Mn 1.99, 1 U 2.14, 1 Zr 2.15
6 O 0.2004 0.8013 0.2507  1 Mn 1.99, 1 U 2.14, 1 Zr 2.15
7 O 0.2975 0.2975 0.5310  1 Mn 1.99, 1 U 2.01
8 O 0.3079 0.3079 0.0182  1 Mn 1.90, 1 Zr 2.08
9 O 0.6921 0.6921 0.9818  1 Mn 1.90, 1 Zr 2.08
10 O 0.7025 0.7025 0.4690  1 Mn 1.99, 1 U 2.01
11 O 0.7996 0.1987 0.7493  1 Mn 1.99, 1 U 2.14, 1 Zr 2.15
12 O 0.8013 0.2004 0.2507  1 Mn 1.99, 1 U 2.14, 1 Zr 2.15

Its total energy is -8.6657 eV/atom. The theoretical density is 6.229 g/cm³. For the total magnetization, the calculation gives 0.667 μB per atom.


A plane-wave DFT calculation with GGA+U was carried out for an optimized crystal structure of Mn3VO4.

Lattice parameters (Å, degrees): 5.5064 6.3617 5.5111 90.00 109.48 90.00
Closest atoms and distances in Å follow each position.
Sites, in units of the cell vectors:
1 Mn 0.0000 0.1246 0.2500  6 O 2.24-2.27
2 Mn 0.0000 0.3743 0.7500  6 O 2.24-2.26
3 Mn 0.0000 0.6257 0.2500  6 O 2.24-2.26
4 Mn 0.0000 0.8754 0.7500  6 O 2.24-2.27
5 Mn 0.5000 0.3743 0.2500  6 O 2.25-2.26
6 Mn 0.5000 0.6257 0.7500  6 O 2.25-2.26
7 V 0.5000 0.1248 0.7500  6 O 2.23-2.24
8 V 0.5000 0.8752 0.2500  6 O 2.23-2.24
9 O 0.2497 0.3734 0.5022  5 Mn 2.24-2.26, 1 V 2.24
10 O 0.2497 0.6266 0.0022  5 Mn 2.24-2.26, 1 V 2.24
11 O 0.2533 0.1231 0.9990  2 V 2.23, 4 Mn 2.24-2.27
12 O 0.2533 0.8769 0.4990  2 V 2.23, 4 Mn 2.24-2.27
13 O 0.7467 0.1231 0.5010  2 V 2.23, 4 Mn 2.24-2.27
14 O 0.7467 0.8769 0.0010  2 V 2.23, 4 Mn 2.24-2.27
15 O 0.7503 0.3734 0.9978  5 Mn 2.24-2.26, 1 V 2.24
16 O 0.7503 0.6266 0.4978  5 Mn 2.24-2.26, 1 V 2.24

Its total energy is -7.8165 eV/atom. The theoretical density is 5.105 g/cm³. For the total magnetization, the calculation gives 2.250 μB per atom. The calculation puts the density of states at the Fermi level at 4.3 states/eV per cell.


A plane-wave DFT calculation with GGA+U was carried out for an optimized crystal structure of MnV2O4.

Lattice parameters (Å, degrees): 9.2813 3.0079 10.6511 90.00 90.00 90.00
Closest atoms and distances in Å follow each position.
Sites, in units of the cell vectors:
1 Mn 0.2491 0.2500 0.1529  7 O 2.30-2.43
2 Mn 0.2509 0.7500 0.6529  7 O 2.30-2.43
3 Mn 0.7491 0.2500 0.3471  7 O 2.30-2.43
4 Mn 0.7509 0.7500 0.8471  7 O 2.30-2.43
5 V 0.0650 0.7500 0.8826  6 O 1.98-2.12
6 V 0.0857 0.7500 0.3974  6 O 2.00-2.10
7 V 0.4143 0.2500 0.8974  6 O 2.00-2.10
8 V 0.4350 0.2500 0.3826  6 O 1.98-2.12
9 V 0.5650 0.7500 0.6174  6 O 1.98-2.12
10 V 0.5857 0.7500 0.1026  6 O 2.00-2.10
11 V 0.9143 0.2500 0.6026  6 O 2.00-2.10
12 V 0.9350 0.2500 0.1174  6 O 1.98-2.12
13 O 0.0340 0.2500 0.2822  3 V 1.98-2.00
14 O 0.0865 0.7500 0.0715  3 V 2.02-2.12
15 O 0.1229 0.2500 0.5310  3 V 2.08-2.10, 2 Mn 2.32
16 O 0.2060 0.2500 0.8250  3 V 2.08-2.09
17 O 0.2940 0.7500 0.3250  3 V 2.08-2.09
18 O 0.3771 0.7500 0.0310  3 V 2.08-2.10, 2 Mn 2.32
19 O 0.4135 0.2500 0.5715  3 V 2.02-2.12
20 O 0.4660 0.7500 0.7822  3 V 1.98-2.00
21 O 0.5340 0.2500 0.2178  3 V 1.98-2.00
22 O 0.5865 0.7500 0.4285  3 V 2.02-2.12
23 O 0.6229 0.2500 0.9690  3 V 2.08-2.10, 2 Mn 2.32
24 O 0.7060 0.2500 0.6750  3 V 2.08-2.09
25 O 0.7940 0.7500 0.1750  3 V 2.08-2.09
26 O 0.8771 0.7500 0.4690  3 V 2.08-2.10, 2 Mn 2.32
27 O 0.9135 0.2500 0.9285  3 V 2.02-2.12
28 O 0.9660 0.7500 0.7178  3 V 1.98-2.00

The relative energy among the computed polymorphs comes out at 86 meV per atom. The theoretical density is 4.933 g/cm³. For the total magnetization, the calculation gives 1.286 μB per atom.


A plane-wave DFT calculation with GGA+U was carried out for an optimized crystal structure of Mn2VO6.

Lattice parameters (Å, degrees): 4.5106 4.5106 8.8662 90.00 90.00 90.00
Closest atoms and distances in Å follow each position.
Sites, in units of the cell vectors:
1 Mn 0.0000 0.0000 0.1668  6 O 1.93-1.95
2 Mn 0.0000 0.0000 0.8332  6 O 1.93-1.95
3 Mn 0.5000 0.5000 0.3332  6 O 1.93-1.95
4 Mn 0.5000 0.5000 0.6668  6 O 1.93-1.95
5 V 0.0000 0.0000 0.5000  6 O 1.93-1.95
6 V 0.5000 0.5000 0.0000  6 O 1.93-1.95
7 O 0.1942 0.1942 0.3337  1 V 1.93, 2 Mn 1.93-1.95
8 O 0.1942 0.1942 0.6663  1 V 1.93, 2 Mn 1.93-1.95
9 O 0.1948 0.1948 0.0000  2 Mn 1.93, 1 V 1.95
10 O 0.3052 0.6948 0.5000  2 Mn 1.93, 1 V 1.95
11 O 0.3058 0.6942 0.1663  1 V 1.93, 2 Mn 1.93-1.95
12 O 0.3058 0.6942 0.8337  1 V 1.93, 2 Mn 1.93-1.95
13 O 0.6942 0.3058 0.1663  1 V 1.93, 2 Mn 1.93-1.95
14 O 0.6942 0.3058 0.8337  1 V 1.93, 2 Mn 1.93-1.95
15 O 0.6948 0.3052 0.5000  2 Mn 1.93, 1 V 1.95
16 O 0.8052 0.8052 0.0000  2 Mn 1.93, 1 V 1.95
17 O 0.8058 0.8058 0.3337  1 V 1.93, 2 Mn 1.93-1.95
18 O 0.8058 0.8058 0.6663  1 V 1.93, 2 Mn 1.93-1.95

The relative energy among the computed polymorphs comes out at 0 meV per atom. The theoretical density is 4.728 g/cm³. For the total magnetization, the calculation gives 0.778 μB per atom. The calculation puts the density of states at the Fermi level at 2.2 states/eV per cell.


A plane-wave DFT calculation with GGA+U was carried out for an optimized crystal structure of Mn2VO6.

Lattice parameters (Å, degrees): 3.8392 6.9790 6.9790 146.95 90.00 90.00
Closest atoms and distances in Å follow each position.
Sites, in units of the cell vectors:
1 Mn 0.0000 0.1673 0.8327  5 O 1.89-2.03
2 Mn 0.0000 0.8327 0.1673  5 O 1.89-2.03
3 V 0.5000 0.8731 0.8731  1 O 1.63
4 O 0.0000 0.3048 0.6876  3 Mn 1.89-2.03
5 O 0.0000 0.6876 0.3048  3 Mn 1.89-2.03
6 O 0.0000 0.9595 0.9595  2 V 1.95
7 O 0.5000 0.1188 0.8449  1 V 1.88, 2 Mn 1.96
8 O 0.5000 0.4634 0.4634  1 V 1.63
9 O 0.5000 0.8449 0.1188  1 V 1.88, 2 Mn 1.96

The relative energy among the computed polymorphs comes out at 114 meV per atom. The theoretical density is 4.182 g/cm³. For the total magnetization, the calculation gives 0.778 μB per atom. The calculation puts the density of states at the Fermi level at 1.3 states/eV per cell.